1.
VASP calculation (PBE-GGA) on a relaxed structure of Ce2PaHg.

Space-group type: No. 225
Energy of formation, eV/f.u.: 0.6

Lattice parameters (Å, degrees): 5.285 5.285 5.285 60.00 60.00 60.00
Last column: magnetic moment on the atom in μB.
Sites, in units of the cell vectors:
Ce 0.250 0.250 0.250  0.80
Ce 0.750 0.750 0.750  0.80
Pa 0.500 0.500 0.500  1.23
Hg 0.000 0.000 0.000  0.00

2.
VASP calculation (PBE-GGA) on a relaxed structure of Be2FeCo.

Space-group type: No. 8
Energy of formation, eV/f.u.: -0.6

Lattice parameters (Å, degrees): 4.410 4.410 3.712 64.99 64.99 34.48
Last column: magnetic moment on the atom in μB.
Sites, in units of the cell vectors:
Co 0.491 0.491 0.510  0.91
Fe 0.257 0.257 0.243  1.89
Be 0.743 0.743 0.756  -0.05
Be 0.009 0.009 0.991  -0.04

3.
VASP calculation (PBE-GGA) on a relaxed structure of Ba2PuMnS5.

Space-group type: No. 36
Formation energy from raw total energies, eV/f.u.: -14.20

Lattice parameters (Å, degrees): 4.187 9.168 12.951 90.00 90.00 103.20
Last column: magnetic moment on the atom in μB.
Sites, in units of the cell vectors:
S 0.954 0.909 0.519  0.06
S 0.501 0.002 0.276  -0.04
S 0.703 0.406 0.161  0.09
S 0.686 0.372 0.883  0.06
S 0.046 0.091 0.019  0.06
Mn 0.558 0.115 0.932  -3.86
S 0.347 0.694 0.010  0.07
S 0.297 0.594 0.661  0.09
Ba 0.116 0.232 0.688  -0.01
Pu 0.801 0.602 0.525  -4.82
Mn 0.442 0.885 0.432  -3.86
Ba 0.875 0.749 0.829  -0.01
Pu 0.199 0.398 0.025  -4.82
Ba 0.884 0.768 0.188  -0.01
S 0.499 0.998 0.776  -0.04
S 0.314 0.628 0.383  0.06
S 0.653 0.306 0.510  0.07
Ba 0.125 0.251 0.329  -0.01

no.,density of states at the Fermi level (states/eV per cell)
1,13.6
2,2.4
3,18.8